1.
A plane-wave DFT calculation with PBE-GGA was carried out for crystalline LaHgP3 at its relaxed geometry.

Computed properties:
symmetry	Pm-3m, No. 221
final energy	-4.004	eV per atom
magnetization	0.00	μB per atom
E_form	0.29	eV/atom

a b c (Å): 4.969 4.969 4.969
angles (deg): 90.00 90.00 90.00
Atoms (fractional coordinates):
P 0.000 0.500 0.000
P 0.000 0.000 0.500
P 0.500 0.000 0.000
Hg 0.000 0.000 0.000
La 0.500 0.500 0.500


2.
A plane-wave DFT calculation with PBE-GGA was carried out for crystalline YAg4W at its relaxed geometry.

Computed properties:
symmetry	F-43m, No. 216
final energy	-4.674	eV per atom
magnetization	0.55	μB per atom
E_form	0.46	eV/atom

a b c (Å): 5.518 5.518 5.518
angles (deg): 60.00 60.00 60.00
Atoms (fractional coordinates):
Y 0.000 0.000 0.000
Ag 0.375 0.874 0.375
Ag 0.874 0.375 0.375
Ag 0.375 0.375 0.874
Ag 0.375 0.375 0.375
W 0.750 0.750 0.750


3.
A plane-wave DFT calculation with PBE-GGA was carried out for crystalline AlCdPt2 at its relaxed geometry.

Computed properties:
symmetry	Imm2, No. 44
final energy	-4.693	eV per atom
magnetization	0.00	μB per atom
E_form	-0.51	eV/atom

a b c (Å): 5.346 5.346 5.346
angles (deg): 141.86 134.63 60.72
Atoms (fractional coordinates):
Al 0.478 0.478 0.000
Pt 0.009 0.009 0.000
Pt 0.280 0.780 0.500
Cd 0.733 0.233 0.500